No. 1
SmIn2Ag2: relaxed, GGA-PBE.

Cell lengths 5.9137, 6.6209, 7.6861 Å; angles 73.54, 67.51, 62.61 degrees
Atoms (fractional coordinates):
Sm: 0.8422 0.7426 0.2491
Sm: 0.1578 0.2574 0.7509
In: 0.7107 0.3420 0.1827
In: 0.7581 0.8481 0.6788
In: 0.2419 0.1519 0.3212
In: 0.2893 0.6580 0.8173
Ag: 0.3899 0.8324 0.0557
Ag: 0.7229 0.3270 0.5578
Ag: 0.6100 0.1676 0.9443
Ag: 0.2771 0.6730 0.4422

Results
**Space group**: No. 2
**ΔH_f (0 K)**: -216 meV per atom

No. 2
LiCrTc2: relaxed, GGA-PBE.

Cell lengths 2.5344, 4.0686, 5.1823 Å; angles 90.00, 90.00, 90.00 degrees
Last column: magnetic moment on the atom in μB.
Atoms (fractional coordinates):
Cr: 0.5000 0.5000 0.2500  1.25
Li: 0.5000 0.5000 0.7500  0.01
Tc: 0.0000 0.0000 0.9948  -0.07
Tc: 0.0000 0.0000 0.5052  -0.07

Results
**Space group**: No. 47
**Energy above the lowest structure with this stoichiometry**: 121 meV/atom
**ΔH_f (0 K)**: 306 meV per atom

No. 3
TiSiRu2: relaxed, GGA-PBE.

Cell lengths 6.5988, 6.5988, 5.4525 Å; angles 52.76, 52.76, 90.00 degrees
Atoms (fractional coordinates):
Ru: 0.5866 0.1250 0.2500
Ru: 0.1634 0.6250 0.2500
Ru: 0.3750 0.4134 0.7500
Ru: 0.8750 0.8366 0.7500
Si: 0.5000 0.5000 0.0000
Si: 0.2500 0.7500 0.5000
Ti: 0.0000 0.0000 0.0000
Ti: 0.7500 0.2500 0.5000

Results
**Space group**: No. 122
**Formation energy from raw total energies**: -0.033 eV per atom

Total moment (computed, μB per atom): 0.00, 0.30, 0.00